A relaxed structure of ErMg3Cd. Source: the Alexandria database, functional GGA-PBE.

Cell: 7.891 3.361 9.502 Å, 90.00 107.21 90.00°
Fractional positions:
Er 0.135 0.000 0.158
Er 0.865 0.500 0.842
Mg 0.094 0.001 0.647
Mg 0.311 0.502 0.926
Mg 0.317 0.501 0.481
Mg 0.683 0.001 0.519
Mg 0.689 0.002 0.074
Mg 0.906 0.501 0.353
Cd 0.500 0.499 0.251
Cd 0.500 0.999 0.749

Results
Energy above the lowest structure with this stoichiometry, eV/atom: 0.000
DFT total energy, eV per cell: -21.59
Energy of formation, eV per atom: -0.11
Calculated volume, Å³/cell: 240.7